Entry from Alexandria: an optimized crystal structure of LuThTlCd (GGA-PBE).

abc: 7.5901 7.5901 7.5901
angles: 90.00 90.00 90.00
With the nearest neighbours (Å) after each atom.
Fractional coordinates of all 16 atoms:
Lu 0.0000 0.0000 0.0000  4 Tl 3.29, 4 Cd 3.29
Lu 0.0000 0.5000 0.5000  4 Tl 3.29, 4 Cd 3.29
Lu 0.5000 0.0000 0.5000  4 Tl 3.29, 4 Cd 3.29
Lu 0.5000 0.5000 0.0000  4 Tl 3.29, 4 Cd 3.29
Th 0.0000 0.0000 0.5000  4 Cd 3.29, 4 Tl 3.29
Th 0.0000 0.5000 0.0000  4 Cd 3.29, 4 Tl 3.29
Th 0.5000 0.0000 0.0000  4 Cd 3.29, 4 Tl 3.29
Th 0.5000 0.5000 0.5000  4 Cd 3.29, 4 Tl 3.29
Tl 0.2500 0.2500 0.7500  4 Th 3.29, 4 Lu 3.29
Tl 0.2500 0.7500 0.2500  4 Th 3.29, 4 Lu 3.29
Tl 0.7500 0.2500 0.2500  4 Th 3.29, 4 Lu 3.29
Tl 0.7500 0.7500 0.7500  4 Th 3.29, 4 Lu 3.29
Cd 0.2500 0.2500 0.2500  4 Lu 3.29, 4 Th 3.29
Cd 0.2500 0.7500 0.7500  4 Lu 3.29, 4 Th 3.29
Cd 0.7500 0.2500 0.7500  4 Lu 3.29, 4 Th 3.29
Cd 0.7500 0.7500 0.2500  4 Lu 3.29, 4 Th 3.29

Values from the calculation:
Space-group type: F-43m, No. 216
Formation energy, meV/atom: -164
Total DFT energy (no corrections), eV per atom: -3.969
Magnetization, μB per formula unit: 0.00
V, Å³/atom: 27.33
DOS at the Fermi energy, states/eV per atom: 0.812